DFT (meta-GGA SCAN) results for a crystal of KFe2Tc relaxed with PBEsol.

a = 6.1309 Å, b = 6.1309 Å, c = 6.1309 Å
α = 90.00°, β = 90.00°, γ = 90.00°
With the nearest neighbours (Å) after each atom.
Sites, in units of the cell vectors:
K  0.0000  0.0000  0.0000  4 Fe 2.65, 4 Tc 2.65
K  0.0000  0.5000  0.5000  4 Fe 2.65, 4 Tc 2.65
K  0.5000  0.0000  0.5000  4 Fe 2.65, 4 Tc 2.65
K  0.5000  0.5000  0.0000  4 Fe 2.65, 4 Tc 2.65
Fe  0.0000  0.0000  0.5000  4 Fe 2.65, 4 Tc 2.65
Fe  0.0000  0.5000  0.0000  4 Fe 2.65, 4 Tc 2.65
Fe  0.2500  0.2500  0.7500  4 Fe 2.65, 4 K 2.65
Fe  0.2500  0.7500  0.2500  4 Fe 2.65, 4 K 2.65
Fe  0.5000  0.0000  0.0000  4 Fe 2.65, 4 Tc 2.65
Fe  0.5000  0.5000  0.5000  4 Fe 2.65, 4 Tc 2.65
Fe  0.7500  0.2500  0.2500  4 Fe 2.65, 4 K 2.65
Fe  0.7500  0.7500  0.7500  4 Fe 2.65, 4 K 2.65
Tc  0.2500  0.2500  0.2500  4 Fe 2.65, 4 K 2.65
Tc  0.2500  0.7500  0.7500  4 Fe 2.65, 4 K 2.65
Tc  0.7500  0.2500  0.7500  4 Fe 2.65, 4 K 2.65
Tc  0.7500  0.7500  0.2500  4 Fe 2.65, 4 K 2.65

calculated volume = 230.45 Å³ per cell
energy above the most stable polymorph in this dataset = 898 meV/atom
crystal system = cubic
energy relative to the elements = 6.32 eV per formula unit

---

DFT (meta-GGA SCAN) results for a crystal of KFeTe2 relaxed with PBEsol.

a = 5.1012 Å, b = 5.0665 Å, c = 5.1079 Å
α = 90.00°, β = 90.11°, γ = 90.00°
With the nearest neighbours (Å) after each atom.
Sites, in units of the cell vectors:
K  0.0000  0.0000  0.0000  8 Te 3.60-3.64
Fe  0.4961  0.5000  0.6235  4 Te 2.43-2.67
Te  0.4988  0.0000  0.5019  2 Fe 2.61
Te  0.5014  0.5000  0.1000  2 Fe 2.43-2.67

DFT total energy = -25.53 eV/atom
calculated volume = 132.01 Å³ per cell
crystal system = monoclinic

---

DFT (meta-GGA SCAN) results for a crystal of KFeTe2 relaxed with PBEsol.

a = 7.9506 Å, b = 7.9506 Å, c = 7.6774 Å
α = 90.00°, β = 90.00°, γ = 90.00°
With the nearest neighbours (Å) after each atom.
Sites, in units of the cell vectors:
K  0.0000  0.0000  0.0000  8 Te 3.54-3.70, 2 Fe 3.84
K  0.0000  0.5000  0.2500  8 Te 3.54-3.70, 2 Fe 3.84
K  0.5000  0.0000  0.7500  8 Te 3.54-3.70, 2 Fe 3.84
K  0.5000  0.5000  0.5000  8 Te 3.54-3.70, 2 Fe 3.84
Fe  0.0000  0.0000  0.5000  4 Te 2.52
Fe  0.0000  0.5000  0.7500  4 Te 2.52
Fe  0.5000  0.0000  0.2500  4 Te 2.52
Fe  0.5000  0.5000  0.0000  4 Te 2.52
Te  0.1516  0.2500  0.6250  2 Fe 2.52
Te  0.2500  0.6516  0.8750  2 Fe 2.52
Te  0.2500  0.8484  0.3750  2 Fe 2.52
Te  0.3484  0.2500  0.1250  2 Fe 2.52
Te  0.6516  0.7500  0.1250  2 Fe 2.52
Te  0.7500  0.1516  0.3750  2 Fe 2.52
Te  0.7500  0.3484  0.8750  2 Fe 2.52
Te  0.8484  0.7500  0.6250  2 Fe 2.52

DFT total energy = -25.66 eV/atom
calculated volume = 485.30 Å³ per cell
crystal system = tetragonal

---

DFT (meta-GGA SCAN) results for a crystal of KFeTe2 relaxed with PBEsol.

a = 3.3091 Å, b = 6.3859 Å, c = 10.9491 Å
α = 90.00°, β = 90.00°, γ = 90.00°
With the nearest neighbours (Å) after each atom.
Sites, in units of the cell vectors:
K  0.0000  0.0000  0.0000  2 K 3.31, 4 Fe 3.60
K  0.5000  0.5000  0.5000  2 K 3.31, 4 Fe 3.60
Fe  0.0000  0.0000  0.5000  4 Te 2.52
Fe  0.5000  0.5000  0.0000  4 Te 2.52
Te  0.0000  0.5000  0.1732  2 Fe 2.52
Te  0.0000  0.5000  0.8268  2 Fe 2.52
Te  0.5000  0.0000  0.3268  2 Fe 2.52
Te  0.5000  0.0000  0.6732  2 Fe 2.52

DFT total energy = -25.56 eV/atom
calculated volume = 231.37 Å³ per cell
crystal system = orthorhombic

---

DFT (meta-GGA SCAN) results for a crystal of K2TlFe relaxed with PBEsol.

a = 4.4294 Å, b = 4.4971 Å, c = 11.3506 Å
α = 90.00°, β = 90.00°, γ = 90.00°
With the nearest neighbours (Å) after each atom.
Sites, in units of the cell vectors:
K  0.0000  0.0000  0.2461  4 K 3.16
K  0.0000  0.0000  0.7539  4 K 3.16
K  0.5000  0.5000  0.2539  4 K 3.16
K  0.5000  0.5000  0.7461  4 K 3.16
Tl  0.0000  0.5000  0.0000  4 Fe 3.16
Tl  0.5000  0.0000  0.5000  4 Fe 3.16
Fe  0.0000  0.5000  0.5000  4 Tl 3.16
Fe  0.5000  0.0000  0.0000  4 Tl 3.16

calculated volume = 226.10 Å³ per cell
energy above the most stable polymorph in this dataset = 257 meV/atom
crystal system = orthorhombic
energy relative to the elements = 2.28 eV per formula unit

---

DFT (meta-GGA SCAN) results for a crystal of KTl2Fe relaxed with PBEsol.

a = 4.8280 Å, b = 4.8280 Å, c = 4.2798 Å
α = 90.00°, β = 90.00°, γ = 90.00°
With the nearest neighbours (Å) after each atom.
Sites, in units of the cell vectors:
K  0.0000  0.0000  0.0000  8 Tl 3.23, 4 Fe 3.41
Tl  0.0000  0.5000  0.5000  4 Fe 3.23, 4 K 3.23, 4 Tl 3.41
Tl  0.5000  0.0000  0.5000  4 Fe 3.23, 4 K 3.23, 4 Tl 3.41
Fe  0.5000  0.5000  0.0000  8 Tl 3.23, 4 K 3.41

calculated volume = 99.76 Å³ per cell
crystal system = tetragonal
energy relative to the elements = 2.11 eV per formula unit

---

DFT (meta-GGA SCAN) results for a crystal of KTl2Fe relaxed with PBEsol.

a = 6.7444 Å, b = 9.1954 Å, c = 3.1437 Å
α = 90.00°, β = 90.00°, γ = 90.00°
With the nearest neighbours (Å) after each atom.
Sites, in units of the cell vectors:
K  0.0000  0.0000  0.0000  2 K 3.14, 8 Tl 3.26, 2 Fe 3.37
K  0.5000  0.5000  0.0000  2 K 3.14, 8 Tl 3.26, 2 Fe 3.37
Tl  0.2500  0.2500  0.5000  4 Tl 3.14-3.37, 4 Fe 3.26, 4 K 3.26
Tl  0.2500  0.7500  0.5000  4 Tl 3.14-3.37, 4 Fe 3.26, 4 K 3.26
Tl  0.7500  0.2500  0.5000  4 Tl 3.14-3.37, 4 Fe 3.26, 4 K 3.26
Tl  0.7500  0.7500  0.5000  4 Tl 3.14-3.37, 4 Fe 3.26, 4 K 3.26
Fe  0.0000  0.5000  0.0000  2 Fe 3.14, 8 Tl 3.26, 2 K 3.37
Fe  0.5000  0.0000  0.0000  2 Fe 3.14, 8 Tl 3.26, 2 K 3.37

calculated volume = 194.96 Å³ per cell
crystal system = orthorhombic
energy relative to the elements = 2.08 eV per formula unit

---

DFT (meta-GGA SCAN) results for a crystal of KTlFe2 relaxed with PBEsol.

a = 6.8086 Å, b = 6.8086 Å, c = 6.8086 Å
α = 90.00°, β = 90.00°, γ = 90.00°
With the nearest neighbours (Å) after each atom.
Sites, in units of the cell vectors:
K  0.0000  0.0000  0.0000  4 Tl 2.95, 4 Fe 2.95
K  0.0000  0.5000  0.5000  4 Tl 2.95, 4 Fe 2.95
K  0.5000  0.0000  0.5000  4 Tl 2.95, 4 Fe 2.95
K  0.5000  0.5000  0.0000  4 Tl 2.95, 4 Fe 2.95
Tl  0.2500  0.2500  0.2500  4 Fe 2.95, 4 K 2.95
Tl  0.2500  0.7500  0.7500  4 Fe 2.95, 4 K 2.95
Tl  0.7500  0.2500  0.7500  4 Fe 2.95, 4 K 2.95
Tl  0.7500  0.7500  0.2500  4 Fe 2.95, 4 K 2.95
Fe  0.0000  0.0000  0.5000  4 Tl 2.95, 4 Fe 2.95
Fe  0.0000  0.5000  0.0000  4 Tl 2.95, 4 Fe 2.95
Fe  0.2500  0.2500  0.7500  4 Fe 2.95, 4 K 2.95
Fe  0.2500  0.7500  0.2500  4 K 2.95, 4 Fe 2.95
Fe  0.5000  0.0000  0.0000  4 Tl 2.95, 4 Fe 2.95
Fe  0.5000  0.5000  0.5000  4 Tl 2.95, 4 Fe 2.95
Fe  0.7500  0.2500  0.2500  4 K 2.95, 4 Fe 2.95
Fe  0.7500  0.7500  0.7500  4 K 2.95, 4 Fe 2.95

calculated volume = 315.63 Å³ per cell
energy above the most stable polymorph in this dataset = 297 meV/atom
crystal system = cubic
energy relative to the elements = 3.72 eV per formula unit

---

DFT (meta-GGA SCAN) results for a crystal of K2TlFe relaxed with PBEsol.

a = 4.5878 Å, b = 4.8829 Å, c = 10.7489 Å
α = 90.00°, β = 90.00°, γ = 90.00°
With the nearest neighbours (Å) after each atom.
Sites, in units of the cell vectors:
K  0.0000  0.0000  0.2302  4 K 3.35, 4 Fe 3.37-3.48, 2 Tl 3.70
K  0.0000  0.0000  0.7698  4 K 3.35, 4 Fe 3.37-3.48, 2 Tl 3.70
K  0.5000  0.5000  0.2302  4 K 3.35, 4 Fe 3.37-3.48, 2 Tl 3.70
K  0.5000  0.5000  0.7698  4 K 3.35, 4 Fe 3.37-3.48, 2 Tl 3.70
Tl  0.0000  0.5000  0.5000  4 Tl 3.35, 4 K 3.70
Tl  0.5000  0.0000  0.5000  4 Tl 3.35, 4 K 3.70
Fe  0.0000  0.5000  0.0000  4 Fe 3.35, 8 K 3.37-3.48
Fe  0.5000  0.0000  0.0000  4 Fe 3.35, 8 K 3.37-3.48

calculated volume = 240.80 Å³ per cell
energy above the most stable polymorph in this dataset = 300 meV/atom
crystal system = orthorhombic
energy relative to the elements = 2.46 eV per formula unit

---

DFT (meta-GGA SCAN) results for a crystal of KTlFe3 relaxed with PBEsol.

a = 5.0167 Å, b = 5.0167 Å, c = 5.0167 Å
α = 90.00°, β = 90.00°, γ = 90.00°
With the nearest neighbours (Å) after each atom.
Sites, in units of the cell vectors:
K  0.0000  0.0000  0.0000  12 Fe 3.55
Tl  0.5000  0.5000  0.5000  6 Fe 2.51
Fe  0.0000  0.5000  0.5000  2 Tl 2.51
Fe  0.5000  0.0000  0.5000  2 Tl 2.51
Fe  0.5000  0.5000  0.0000  2 Tl 2.51

calculated volume = 126.26 Å³ per cell
crystal system = cubic
energy relative to the elements = 5.77 eV per formula unit

---

DFT (meta-GGA SCAN) results for a crystal of K2TlFe relaxed with PBEsol.

a = 4.7040 Å, b = 5.2512 Å, c = 12.0398 Å
α = 90.00°, β = 90.00°, γ = 90.00°
With the nearest neighbours (Å) after each atom.
Sites, in units of the cell vectors:
K  0.0000  0.0000  0.0000  3 Tl 3.54-3.65, 4 Fe 3.79
K  0.0000  0.5000  0.5000  3 Tl 3.54-3.65, 4 Fe 3.79
K  0.5000  0.0000  0.3032  3 Fe 3.46-3.76, 4 Tl 3.75
K  0.5000  0.5000  0.8032  3 Fe 3.46-3.76, 4 Tl 3.75
Tl  0.0000  0.0000  0.6971  2 Fe 2.55
Tl  0.0000  0.5000  0.1971  2 Fe 2.55
Fe  0.5000  0.0000  0.6156  2 Tl 2.55
Fe  0.5000  0.5000  0.1156  2 Tl 2.55

calculated volume = 297.41 Å³ per cell
energy above the most stable polymorph in this dataset = 85 meV/atom
crystal system = orthorhombic
energy relative to the elements = 1.59 eV per formula unit

---

DFT (meta-GGA SCAN) results for a crystal of KTlFe2 relaxed with PBEsol.

a = 3.1445 Å, b = 3.1445 Å, c = 28.4318 Å
α = 90.00°, β = 90.00°, γ = 120.00°
With the nearest neighbours (Å) after each atom.
Sites, in units of the cell vectors:
K  0.0000  0.0000  0.0000  6 K 3.14, 3 Fe 3.31
K  0.3333  0.6667  0.6667  6 K 3.14, 3 Fe 3.31
K  0.6667  0.3333  0.3333  6 K 3.14, 3 Fe 3.31
Tl  0.0000  0.0000  0.2271  3 Fe 2.85, 6 Tl 3.14
Tl  0.3333  0.6667  0.8938  3 Fe 2.85, 6 Tl 3.14
Tl  0.6667  0.3333  0.5604  3 Fe 2.85, 6 Tl 3.14
Fe  0.0000  0.0000  0.4830  3 Fe 2.35
Fe  0.0000  0.0000  0.7640  3 Fe 2.35
Fe  0.3333  0.6667  0.1497  3 Fe 2.35
Fe  0.3333  0.6667  0.4307  3 Fe 2.35
Fe  0.6667  0.3333  0.0973  3 Fe 2.35
Fe  0.6667  0.3333  0.8164  3 Fe 2.35

calculated volume = 243.47 Å³ per cell
energy above the most stable polymorph in this dataset = 0 meV/atom
crystal system = trigonal
energy relative to the elements = 2.53 eV per formula unit

---

DFT (meta-GGA SCAN) results for a crystal of K2TlFe relaxed with PBEsol.

a = 3.7267 Å, b = 3.7267 Å, c = 10.1303 Å
α = 90.00°, β = 90.00°, γ = 90.00°
With the nearest neighbours (Å) after each atom.
Sites, in units of the cell vectors:
K  0.0000  0.0000  0.0000  1 Tl 3.31
K  0.5000  0.5000  0.4011  1 Fe 3.22
Tl  0.0000  0.0000  0.6735  4 Fe 2.67
Fe  0.5000  0.5000  0.7187  4 Tl 2.67

calculated volume = 140.69 Å³ per cell
energy above the most stable polymorph in this dataset = 0 meV/atom
crystal system = tetragonal
energy relative to the elements = 1.25 eV per formula unit

---

DFT (meta-GGA SCAN) results for a crystal of KFeW2 relaxed with PBEsol.

a = 3.1838 Å, b = 3.1838 Å, c = 8.1984 Å
α = 90.00°, β = 90.00°, γ = 90.00°
With the nearest neighbours (Å) after each atom.
Sites, in units of the cell vectors:
K  0.0000  0.0000  0.0000  4 K 3.18
Fe  0.0000  0.0000  0.5000  8 W 2.53
W  0.5000  0.5000  0.3601  1 W 2.29, 4 Fe 2.53
W  0.5000  0.5000  0.6399  1 W 2.29, 4 Fe 2.53

calculated volume = 83.10 Å³ per cell
energy above the most stable polymorph in this dataset = 0 meV/atom
crystal system = tetragonal
energy relative to the elements = 4.59 eV per formula unit

---

DFT (meta-GGA SCAN) results for a crystal of K4FeW relaxed with PBEsol.

a = 6.7540 Å, b = 6.7540 Å, c = 6.7540 Å
α = 60.00°, β = 60.00°, γ = 60.00°
With the nearest neighbours (Å) after each atom.
Sites, in units of the cell vectors:
K  0.1246  0.1246  0.1246  6 K 3.37-3.39
K  0.1246  0.1246  0.6262  6 K 3.37-3.39
K  0.1246  0.6262  0.1246  6 K 3.37-3.39
K  0.6262  0.1246  0.1246  6 K 3.37-3.39
Fe  0.5000  0.5000  0.5000  12 K 3.96, 4 W 4.14
W  0.7500  0.7500  0.7500  12 K 3.96, 4 Fe 4.14

calculated volume = 217.85 Å³ per cell
crystal system = cubic
energy relative to the elements = 10.84 eV per formula unit